## CeCuGe (meta-GGA SCAN)

Data for a crystal of CeCuGe relaxed with PBEsol.

```
CeCuGe
1.0
3.954 0.000 0.000
0.000 4.137 0.000
0.000 -2.069 3.583
Ge Ce Cu
1 1 1
direct
0.500 0.333 0.667
0.000 0.000 0.000
0.500 0.667 0.333
```

Results
Formation energy from the elements = -0.6648 eV per atom
Space group = No. 187
V = 19.54 Å³/atom

=====

## MgRhSe2 (meta-GGA SCAN)

Data for a crystal of MgRhSe2 relaxed with PBEsol.

```
MgRhSe2
1.0
3.369 0.000 0.000
1.684 2.917 0.000
1.684 0.972 8.133
Mg Rh Se
1 1 2
direct
0.500 0.500 0.500
0.000 0.000 0.000
0.905 0.905 0.285
0.095 0.095 0.715
```

Results
Space group = No. 166
V = 19.98 Å³/atom
Formation energy (no corrections) = -0.12 eV/atom

=====

## ZrMn2Os (meta-GGA SCAN)

Data for a crystal of ZrMn2Os relaxed with PBEsol.

```
ZrMn2Os
1.0
-0.051 -1.701 2.150
3.929 0.231 0.275
-0.450 4.865 2.345
Mn Os Zr
2 1 1
direct
0.023 0.000 0.781
0.977 0.000 0.219
0.500 0.500 0.000
0.500 0.500 0.500
```

Results
Formation energy from the elements = -0.0251 eV per atom
Energy relative to the lowest polymorph listed for this composition = 143 meV per atom
Space group = No. 10
V = 14.31 Å³/atom

=====

## Ba2CdP (meta-GGA SCAN)

Data for a crystal of Ba2CdP relaxed with PBEsol.

```
Ba2CdP
1.0
-2.951 -2.931 -2.303
-1.911 -1.332 4.144
-4.461 4.875 -0.489
Ba Cd P
2 1 1
direct
0.000 0.000 0.883
0.500 0.500 0.367
0.000 0.000 0.387
0.500 0.500 0.863
```

Results
Formation energy from the elements = -0.4852 eV per atom
Energy relative to the lowest polymorph listed for this composition = 0 meV per atom
Space group = No. 99
V = 37.43 Å³/atom